Material: DyCoTc
Method: DFT, GGA-PBE
State: relaxed

- energy above the most stable polymorph in this dataset (meV/atom) = 0
- final energy (eV/atom) = -7.525
- energy relative to the elements (eV per atom) = -0.167

abc: 5.285 5.285 5.285
angles: 123.90 118.39 88.10
Element x y z (fractional)
Dy 0.371 0.121 0.250
Dy 0.629 0.879 0.750
Co 0.000 0.500 0.500
Co 0.500 0.500 0.000
Tc 0.000 0.000 0.500
Tc 0.000 0.500 0.000